Entry from Alexandria via LeMat-Bulk: crystalline Pm2MgHg4 at its relaxed geometry (PBE).

As for the final energy: -26.0 eV per cell. The formation energy is -102 meV per atom. The value obtained for the energy above the lowest structure with this stoichiometry is 1.74 eV/f.u. For the total magnetization, the calculation gives 0.0 μB/cell. For the density of states at the Fermi level, the calculation gives 1.010 states/eV per atom.

Cell: 5.165 5.165 15.750 Å, 90.00 90.00 90.00°
Space group I4/mmm (No. 139)
Asymmetric unit:
Pm1 0.000 0.000 0.122
Mg1 0.000 0.000 0.500
Hg1 0.000 0.000 0.318
Hg2 0.000 0.500 0.000

---

Entry from Alexandria via LeMat-Bulk: crystalline Pm5Mg4Hg at its relaxed geometry (PBE).

As for the final energy: -32.2 eV per cell. The formation energy is -179 meV per atom. For the total magnetization, the calculation gives 0.2 μB/cell. For the density of states at the Fermi level, the calculation gives 1.283 states/eV per atom.

Cell: 3.857 3.857 19.211 Å, 90.00 90.00 90.00°
Space group P4/mmm (No. 123)
Asymmetric unit:
Pm1 0.000 0.000 0.000
Pm2 0.000 0.000 0.202
Pm3 0.000 0.000 0.402
Mg1 0.500 0.500 0.101
Mg2 0.500 0.500 0.300
Hg1 0.500 0.500 0.500

---

Entry from Alexandria via LeMat-Bulk: crystalline Pm2MgHg5 at its relaxed geometry (PBE).

As for the final energy: -30.2 eV per cell. The formation energy is -310 meV per atom. For the total magnetization, the calculation gives 0.0 μB/cell. For the density of states at the Fermi level, the calculation gives 0.591 states/eV per atom.

Cell: 5.108 5.108 15.260 Å, 90.00 90.00 90.00°
Space group I4/mmm (No. 139)
Asymmetric unit:
Pm1 0.000 0.000 0.246
Mg1 0.000 0.000 0.500
Hg1 0.000 0.000 0.000
Hg2 0.000 0.500 0.118

---

Entry from Alexandria via LeMat-Bulk: crystalline PmMgHg2 at its relaxed geometry (PBE).

As for the final energy: -8.5 eV per cell. The formation energy is -383 meV per atom. The value obtained for the energy above the lowest structure with this stoichiometry is 0.35 eV/f.u. For the total magnetization, the calculation gives 0.2 μB/cell. For the density of states at the Fermi level, the calculation gives 0.638 states/eV per atom.

Cell: 3.591 3.591 7.524 Å, 90.00 90.00 90.00°
Space group P4/mmm (No. 123)
Asymmetric unit:
Pm1 0.000 0.000 0.000
Mg1 0.000 0.000 0.500
Hg1 0.500 0.500 0.275

---

Entry from Alexandria via LeMat-Bulk: crystalline PmMg3Hg3 at its relaxed geometry (PBE).

As for the final energy: -18.3 eV per cell. The formation energy is 182 meV per atom. The value obtained for the energy above the lowest structure with this stoichiometry is 3.10 eV/f.u. For the total magnetization, the calculation gives 0.0 μB/cell. For the density of states at the Fermi level, the calculation gives 0.732 states/eV per atom.

Cell: 7.469 7.469 7.469 Å, 90.00 90.00 90.00°
Space group Pm-3n (No. 223)
Asymmetric unit:
Pm1 0.000 0.000 0.000
Mg1 0.000 0.250 0.500
Hg1 0.000 0.500 0.250

---

Entry from Alexandria via LeMat-Bulk: crystalline Pm7Mg2Hg2 at its relaxed geometry (PBE).

As for the final energy: -71.8 eV per cell. The formation energy is 105 meV per atom. For the total magnetization, the calculation gives 0.0 μB/cell. For the density of states at the Fermi level, the calculation gives 1.489 states/eV per atom.

Cell: 11.176 7.505 8.658 Å, 90.00 90.05 90.00°
Space group C2/m (No. 12)
Asymmetric unit:
Pm1 0.000 0.000 0.000
Pm2 0.000 0.500 0.270
Pm3 0.250 0.250 0.296
Mg1 0.200 0.500 0.000
Hg1 0.000 0.186 0.500